Below is crystalline Ca2B7Ir12 at its relaxed geometry, with properties calculated at the PBE level.

POSCAR file:
```
Ca2B7Ir12
1.0
8.916 0.000 0.000
-4.458 7.721 0.000
0.000 0.000 3.958
Ca B Ir
2 7 12
Direct
0.000 0.000 0.000
0.333 0.667 0.500
0.101 0.442 0.000
0.267 0.214 0.500
0.341 0.899 0.000
0.558 0.659 0.000
0.667 0.333 0.000
0.786 0.053 0.500
0.947 0.733 0.500
0.066 0.284 0.500
0.090 0.682 0.000
0.218 0.934 0.500
0.318 0.408 0.000
0.400 0.161 0.000
0.534 0.410 0.500
0.590 0.124 0.500
0.592 0.910 0.000
0.716 0.782 0.500
0.761 0.600 0.000
0.839 0.239 0.000
0.876 0.466 0.500
```

Properties
**Calculated density**: 15.01 Mg/m³
**Space-group type**: P-6 (174)
**DFT formation energy**: -275 meV/atom
**Total energy**: -7.755 eV/atom